Entry 1:
# SrCa2Cd8 | Alexandria via LeMat-Bulk | PBE-GGA | relaxed
data_SrCa2Cd8
_chemical_formula_sum 'Sr1 Ca2 Cd8'
_cell_length_a 5.506
_cell_length_b 6.472
_cell_length_c 9.205
_cell_angle_alpha 110.66
_cell_angle_beta 107.49
_cell_angle_gamma 89.76
_symmetry_space_group_name_H-M 'P 1'
_symmetry_Int_Tables_number 1
_symmetry_space_group_name_Hall 'P 1'
loop_
_atom_site_label
_atom_site_type_symbol
_atom_site_fract_x
_atom_site_fract_y
_atom_site_fract_z
Sr1 Sr 0.500 0.000 0.000
Ca1 Ca 0.688 0.688 0.376
Ca2 Ca 0.312 0.312 0.624
Cd1 Cd 0.132 0.361 0.263
Cd2 Cd 0.869 0.098 0.737
Cd3 Cd 0.750 0.495 0.000
Cd4 Cd 0.707 0.207 0.415
Cd5 Cd 0.293 0.793 0.585
Cd6 Cd 0.250 0.505 0.000
Cd7 Cd 0.131 0.902 0.263
Cd8 Cd 0.868 0.639 0.737
# **Crystal system**: monoclinic


Entry 2:
# SrCa2Cd | Alexandria via LeMat-Bulk | PBE-GGA | relaxed
data_SrCa2Cd
_chemical_formula_sum 'Sr1 Ca2 Cd1'
_cell_length_a 6.680
_cell_length_b 6.680
_cell_length_c 6.680
_cell_angle_alpha 134.40
_cell_angle_beta 134.40
_cell_angle_gamma 66.46
_symmetry_space_group_name_H-M 'P 1'
_symmetry_Int_Tables_number 1
_symmetry_space_group_name_Hall 'P 1'
loop_
_atom_site_label
_atom_site_type_symbol
_atom_site_fract_x
_atom_site_fract_y
_atom_site_fract_z
Sr1 Sr 0.750 0.250 0.500
Ca1 Ca 0.000 0.000 0.000
Ca2 Ca 0.500 0.500 0.000
Cd1 Cd 0.250 0.750 0.500
# **Crystal system**: tetragonal


Entry 3:
# SrCa2Cd | Alexandria via LeMat-Bulk | PBE-GGA | relaxed
data_SrCa2Cd
_chemical_formula_sum 'Sr1 Ca2 Cd1'
_cell_length_a 6.987
_cell_length_b 6.987
_cell_length_c 6.042
_cell_angle_alpha 64.52
_cell_angle_beta 64.52
_cell_angle_gamma 35.41
_symmetry_space_group_name_H-M 'P 1'
_symmetry_Int_Tables_number 1
_symmetry_space_group_name_Hall 'P 1'
loop_
_atom_site_label
_atom_site_type_symbol
_atom_site_fract_x
_atom_site_fract_y
_atom_site_fract_z
Sr1 Sr 0.216 0.216 0.285
Ca1 Ca 0.004 0.004 0.997
Ca2 Ca 0.788 0.788 0.713
Cd1 Cd 0.492 0.492 0.505
# **Crystal system**: monoclinic


Which volume belongs to each record? In order, 26.44, 37.44, 38.12 A^3/atom.
Which formation energy belongs to each record? In order, -286, -56, -104 meV per atom.